Entry 1:
! La2Re3, optimized geometry, DFT PBE; values from VASP
&SYSTEM
  ibrav = 0, nat = 5, ntyp = 2
/
ATOMIC_SPECIES
La 138.91 La.upf
Re 186.21 Re.upf
CELL_PARAMETERS angstrom
1.983 -6.440 0.000
1.983 6.440 0.000
0.000 0.000 4.628
ATOMIC_POSITIONS crystal
La 0.119 0.881 0.500
La 0.881 0.119 0.500
Re 0.500 0.500 0.000
Re 0.306 0.694 0.000
Re 0.694 0.306 0.000
! Total magnetic moment: 0.00 μB per cell
! Calculated density: 11.8 g cm⁻³
! Fermi-level density of states: 3.610 states/eV/f.u.
! Calculated volume: 23.64 Å³ per atom
! Uncorrected energy: -9.059 eV per atom
! Polymorph energy (0 for the lowest one): 0.1875 eV per atom
! Crystal system: orthorhombic
! Formation energy from the elements: 381 meV/atom


Entry 2:
! La5Re, optimized geometry, DFT PBE; values from VASP
&SYSTEM
  ibrav = 0, nat = 6, ntyp = 2
/
ATOMIC_SPECIES
La 138.91 La.upf
Re 186.21 Re.upf
CELL_PARAMETERS angstrom
0.792 6.003 1.784
-4.423 -1.470 -4.257
-3.498 -0.690 3.872
ATOMIC_POSITIONS crystal
La 0.286 0.286 0.000
La 0.000 0.714 0.000
La 0.714 0.000 0.000
La 0.667 0.333 0.500
La 0.333 0.667 0.500
Re 0.000 0.000 0.500
! Total magnetic moment: 0.00 μB per cell
! Calculated density: 8.1 g cm⁻³
! Fermi-level density of states: 9.532 states/eV/f.u.
! Calculated volume: 30.27 Å³ per atom
! Uncorrected energy: -5.870 eV per atom
! Polymorph energy (0 for the lowest one): 0.1775 eV per atom
! Crystal system: hexagonal
! Formation energy from the elements: 311 meV/atom


Entry 3:
! LaRe3, optimized geometry, DFT PBE; values from VASP
&SYSTEM
  ibrav = 0, nat = 4, ntyp = 2
/
ATOMIC_SPECIES
La 138.91 La.upf
Re 186.21 Re.upf
CELL_PARAMETERS angstrom
2.813 0.000 0.000
0.938 5.396 0.000
-0.938 2.698 4.673
ATOMIC_POSITIONS crystal
La 0.000 0.000 0.000
Re 0.000 0.500 0.500
Re 0.500 0.000 0.500
Re 0.500 0.500 0.000
! Total magnetic moment: 0.00 μB per cell
! Calculated density: 16.3 g cm⁻³
! Fermi-level density of states: 4.427 states/eV/f.u.
! Calculated volume: 17.74 Å³ per atom
! Uncorrected energy: -9.833 eV per atom
! Polymorph energy (0 for the lowest one): 0.3579 eV per atom
! Crystal system: trigonal
! Formation energy from the elements: 735 meV/atom


Entry 4:
! LaRe2, optimized geometry, DFT PBE; values from VASP
&SYSTEM
  ibrav = 0, nat = 6, ntyp = 2
/
ATOMIC_SPECIES
La 138.91 La.upf
Re 186.21 Re.upf
CELL_PARAMETERS angstrom
1.504 -10.355 0.000
1.504 10.355 0.000
0.000 0.000 4.306
ATOMIC_POSITIONS crystal
La 0.322 0.678 0.250
La 0.678 0.322 0.750
Re 0.566 0.434 0.250
Re 0.956 0.044 0.250
Re 0.044 0.956 0.750
Re 0.434 0.566 0.750
! Total magnetic moment: 0.00 μB per cell
! Calculated density: 12.7 g cm⁻³
! Fermi-level density of states: 3.765 states/eV/f.u.
! Calculated volume: 22.35 Å³ per atom
! Uncorrected energy: -9.503 eV per atom
! Crystal system: orthorhombic
! Formation energy from the elements: 438 meV/atom


Entry 5:
! LaRe2, optimized geometry, DFT PBE; values from VASP
&SYSTEM
  ibrav = 0, nat = 6, ntyp = 2
/
ATOMIC_SPECIES
La 138.91 La.upf
Re 186.21 Re.upf
CELL_PARAMETERS angstrom
1.564 5.084 0.004
-1.564 5.084 0.004
0.000 2.503 7.363
ATOMIC_POSITIONS crystal
La 0.349 0.349 0.589
La 0.651 0.651 0.411
Re 0.002 0.002 0.178
Re 0.671 0.671 0.932
Re 0.329 0.329 0.068
Re 0.998 0.998 0.822
! Total magnetic moment: 0.00 μB per cell
! Calculated density: 14.5 g cm⁻³
! Fermi-level density of states: 1.754 states/eV/f.u.
! Calculated volume: 19.51 Å³ per atom
! Uncorrected energy: -9.634 eV per atom
! Crystal system: monoclinic
! Formation energy from the elements: 307 meV/atom


Entry 6:
! La4Re, optimized geometry, DFT PBE; values from VASP
&SYSTEM
  ibrav = 0, nat = 5, ntyp = 2
/
ATOMIC_SPECIES
Re 186.21 Re.upf
La 138.91 La.upf
CELL_PARAMETERS angstrom
-2.885 -4.857 0.366
2.264 -0.961 5.099
-4.313 2.745 2.432
ATOMIC_POSITIONS crystal
Re 0.500 0.500 0.500
La 0.000 0.000 0.000
La 0.500 0.000 0.500
La 0.000 0.500 0.500
La 0.500 0.500 0.000
! Total magnetic moment: 0.00 μB per cell
! Calculated density: 6.8 g cm⁻³
! Fermi-level density of states: 9.713 states/eV/f.u.
! Calculated volume: 36.29 Å³ per atom
! Uncorrected energy: -6.184 eV per atom
! Polymorph energy (0 for the lowest one): 0.1217 eV per atom
! Crystal system: cubic
! Formation energy from the elements: 247 meV/atom